{
  "formula": "FeI3O9",
  "functional": "PBE with a Hubbard U",
  "state": "relaxed",
  "cell": [[9.333, 0.000, 0.000], [-4.666, 8.082, 0.000], [0.000, 0.000, 5.412]],
  "species": ["Fe", "Fe", "I", "I", "I", "I", "I", "I", "O", "O", "O", "O", "O", "O", "O", "O", "O", "O", "O", "O", "O", "O", "O", "O", "O", "O"],
  "fractional_positions": [[0.333, 0.667, 0.000], [0.667, 0.333, 0.500], [0.024, 0.341, 0.367], [0.317, 0.976, 0.367], [0.341, 0.317, 0.867], [0.659, 0.683, 0.367], [0.683, 0.024, 0.867], [0.976, 0.659, 0.867], [0.060, 0.224, 0.135], [0.126, 0.549, 0.213], [0.164, 0.940, 0.135], [0.189, 0.715, 0.773], [0.224, 0.164, 0.635], [0.285, 0.474, 0.773], [0.424, 0.874, 0.213], [0.451, 0.576, 0.213], [0.474, 0.189, 0.273], [0.526, 0.811, 0.773], [0.549, 0.424, 0.713], [0.576, 0.126, 0.713], [0.715, 0.526, 0.273], [0.776, 0.836, 0.135], [0.811, 0.285, 0.273], [0.836, 0.060, 0.635], [0.874, 0.451, 0.713], [0.940, 0.776, 0.635]],
  "dos_ef_per_ev_atom": 0.00,
  "energy_ha_per_atom": -0.17464,
  "space_group": "P6_3, No. 173"
}